Entry from Alexandria via LeMat-Bulk: SbAsSBr2 after structural relaxation (PBE).

a = 5.389 Å, b = 5.389 Å, c = 5.793 Å
α = 90.00°, β = 90.00°, γ = 90.00°
Space group P4/mmm (No. 123)
Asymmetric unit:
1 Sb 0.000 0.000 0.000 x1
2 As 0.000 0.000 0.500 x1
3 S 0.500 0.500 0.500 x1
4 Br 0.000 0.500 0.000 x2

The value obtained for the uncorrected formation energy is 0.663 eV/atom. The value obtained for the density is 3.83 g cm⁻³. The density of states at the Fermi level is 1.219 states/eV per atom. The calculation puts the energy above the lowest structure with this stoichiometry at 104 meV/atom. As for the crystal system: tetragonal. As for the total energy: -2.586 eV per atom.